1.
Density functional theory data (PBE) for a geometry-optimized GaMo2PbW structure.

The structure in extended XYZ format:
```
5
Lattice="4.663 0.000 0.000 0.000 4.663 0.000 0.000 0.000 4.665" Properties=species:S:1:pos:R:3 pbc="T T T"
Ga 0.000 0.000 0.000
Mo 0.000 2.332 0.000
Mo 2.332 0.000 0.000
Pb 2.332 2.332 2.332
W 0.000 0.000 2.332
```

Values from the calculation:
- E_form (kcal/mol of atoms) = 35.50



2.
Density functional theory data (PBE) for a geometry-optimized Rb2LiOs3O12 structure.

The structure in extended XYZ format:
```
18
Lattice="3.640 2.102 6.015 -3.640 2.102 6.015 0.000 -4.203 6.015" Properties=species:S:1:pos:R:3 pbc="T T T"
Rb 0.000 0.000 2.195
Rb 0.000 0.000 15.850
Li 0.000 0.000 9.022
Os -1.820 -1.051 6.015
Os -1.820 1.051 12.030
Os 0.000 2.102 6.015
O -1.376 -0.795 7.730
O 0.000 -1.625 5.605
O -1.408 0.813 5.605
O -1.408 -0.813 12.440
O 0.000 -1.589 10.315
O -1.376 0.795 10.315
O 1.376 -0.795 7.730
O 0.000 1.589 7.730
O 1.408 0.813 5.605
O 1.408 -0.813 12.440
O 0.000 1.625 12.440
O 1.376 0.795 10.315
```

Values from the calculation:
- energy relative to the elements, uncorrected (eV/atom) = -1.2329



3.
Density functional theory data (PBE) for a geometry-optimized Sc6Tl5Co structure.

The structure in extended XYZ format:
```
12
Lattice="-2.507 3.551 7.455 2.507 -3.551 7.455 2.507 3.551 -7.455" Properties=species:S:1:pos:R:3 pbc="T T T"
Sc 2.507 1.636 -2.279
Sc 0.000 1.583 0.000
Sc 2.507 1.636 2.279
Sc 0.000 1.915 5.176
Sc 0.000 5.518 0.000
Sc 0.000 1.915 9.733
Tl 0.000 0.000 2.648
Tl 2.507 0.000 5.003
Tl 0.000 0.000 7.455
Tl 0.000 3.551 2.452
Tl 0.000 0.000 12.261
Co 2.507 0.000 0.000
```

Values from the calculation:
- E_form (kcal/mol of atoms) = -5.45



4.
Density functional theory data (PBE) for a geometry-optimized GaAg5Au4 structure.

The structure in extended XYZ format:
```
10
Lattice="4.967 0.000 0.000 1.334 5.711 0.000 1.712 1.240 6.273" Properties=species:S:1:pos:R:3 pbc="T T T"
Ga 0.000 0.000 0.000
Ag 0.667 2.855 0.000
Ag 3.105 5.290 3.761
Ag 3.118 3.640 1.277
Ag 4.894 3.311 4.996
Ag 4.907 1.661 2.512
Au 2.395 2.419 3.839
Au 2.413 0.816 1.226
Au 5.599 6.135 5.047
Au 5.618 4.532 2.433
```

Values from the calculation:
- E_form (kcal/mol of atoms) = -1.27
- polymorph energy (0 for the lowest one) (eV/atom) = 0.000



5.
Density functional theory data (PBE) for a geometry-optimized ErZn6Ru2 structure.

The structure in extended XYZ format:
```
9
Lattice="-2.193 2.867 5.946 2.193 -2.867 5.946 2.193 2.867 -5.946" Properties=species:S:1:pos:R:3 pbc="T T T"
Er 0.000 0.000 0.000
Zn 2.193 1.486 -2.421
Zn 2.193 1.701 0.000
Zn 2.193 1.486 2.421
Zn 0.000 1.381 3.525
Zn 0.000 1.166 5.946
Zn 0.000 1.381 8.366
Ru 2.193 0.000 4.641
Ru 0.000 2.867 1.305
```

Values from the calculation:
- E_form (kcal/mol of atoms) = -1.20



6.
Density functional theory data (PBE) for a geometry-optimized CrInI2Br structure.

The structure in extended XYZ format:
```
5
Lattice="5.707 0.000 0.000 0.000 5.707 0.000 0.000 0.000 5.149" Properties=species:S:1:pos:R:3 pbc="T T T"
Cr 0.000 0.000 0.000
In 2.854 2.854 2.575
I 0.000 2.854 0.000
I 2.854 0.000 0.000
Br 0.000 0.000 2.575
```

Values from the calculation:
- energy relative to the elements, uncorrected (eV/atom) = -0.3930



no.,magnetic moment (μB/cell)
1,0.00
2,0.00
3,0.37
4,0.00
5,0.00
6,4.00